# 1
# Tm3In3Hg2Ir | the Alexandria database | PBE | relaxed
# Calculated formation energy ... -0.506 eV per atom
data_Tm3In3Hg2Ir
_chemical_formula_sum 'Tm3 In3 Hg2 Ir1'
_space_group_name_H-M_alt 'P -6 2 m'
_space_group_IT_number 189
_space_group_name_Hall 'P -6 -2'
_cell_length_a 8.1852
_cell_length_b 8.1852
_cell_length_c 3.7160
_cell_angle_alpha 90.00
_cell_angle_beta 90.00
_cell_angle_gamma 120.00
loop_
_atom_site_label
_atom_site_fract_x
_atom_site_fract_y
_atom_site_fract_z
_atom_site_occupancy
Tm1 0.0000 0.7383 0.0000 1
In1 0.0000 0.3793 0.5000 1
Hg1 0.3333 0.6667 0.0000 1
Ir1 0.0000 0.0000 0.5000 1

# 2
# YIn2HgIr | the Alexandria database | PBE | relaxed
# Calculated formation energy ... -0.267 eV per atom
data_YIn2HgIr
_chemical_formula_sum 'Y1 In2 Hg1 Ir1'
_space_group_name_H-M_alt 'P 4/m m m'
_space_group_IT_number 123
_space_group_name_Hall '-P 4 2'
_cell_length_a 5.176
_cell_length_b 5.176
_cell_length_c 5.332
_cell_angle_alpha 90.00
_cell_angle_beta 90.00
_cell_angle_gamma 90.00
loop_
_atom_site_label
_atom_site_fract_x
_atom_site_fract_y
_atom_site_fract_z
_atom_site_occupancy
Y1 0.000 0.000 0.000 1
In1 0.000 0.500 0.500 1
Hg1 0.500 0.500 0.000 1
Ir1 0.000 0.000 0.500 1

# 3
# Y5In2HgIr2 | the Alexandria database | PBE | relaxed
# Calculated formation energy ... -0.575 eV per atom
data_Y5In2HgIr2
_chemical_formula_sum 'Y10 In4 Hg2 Ir4'
_space_group_name_H-M_alt 'P 4/m b m'
_space_group_IT_number 127
_space_group_name_Hall '-P 4 2ab'
_cell_length_a 11.931
_cell_length_b 11.931
_cell_length_c 3.655
_cell_angle_alpha 90.00
_cell_angle_beta 90.00
_cell_angle_gamma 90.00
loop_
_atom_site_label
_atom_site_fract_x
_atom_site_fract_y
_atom_site_fract_z
_atom_site_occupancy
Y1 0.000 0.500 0.000 1
Y2 0.076 0.205 0.000 1
In1 0.175 0.675 0.500 1
Hg1 0.000 0.000 0.500 1
Ir1 0.133 0.367 0.500 1